(1)
8
Lattice="-2.6007 2.6007 4.7966 2.6007 -2.6007 4.7966 2.6007 2.6007 -4.7966" Properties=species:S:1:pos:R:3 comment="HgB2Pd (GGA-PBE, relaxed)" magmom_total_mub_per_atom=0.0000 n_ef_per_ev_cell=3.51 formation_energy_ev_per_atom=0.921 space_group="I-42d (122)" pbc="T T T"
Hg 0.0000 0.0000 0.0000
Hg 0.0000 2.6007 2.3983
B 1.3004 -1.0484 3.5975
B 1.5523 1.3004 1.1992
B 1.3004 3.6491 -1.1992
B 1.0484 1.3004 5.9958
Pd 2.6007 0.0000 2.3983
Pd 0.0000 0.0000 4.7966

(2)
18
Lattice="-3.7803 4.0335 4.2008 3.7803 -4.0335 4.2008 3.7803 4.0335 -4.2008" Properties=species:S:1:pos:R:3 comment="HgB2Pd6 (GGA-PBE, relaxed)" magmom_total_mub_per_atom=0.0000 n_ef_per_ev_cell=6.97 formation_energy_ev_per_atom=-0.109 space_group="Immm (71)" pbc="T T T"
Hg 0.0000 0.0000 0.0000
Hg 0.0000 4.0335 0.0000
B 3.7803 0.9408 0.0000
B 0.0000 0.0000 3.1232
B 0.0000 0.0000 5.2785
B 0.0000 3.0927 4.2008
Pd 3.7803 2.2503 -2.2877
Pd 2.3478 0.0000 1.4832
Pd 5.2128 0.0000 1.4832
Pd 2.3356 2.5939 0.0000
Pd 1.4447 -1.4396 4.2008
Pd 0.0000 1.7832 1.9132
Pd 3.7803 2.2503 2.2877
Pd 2.3356 5.4732 0.0000
Pd 1.4447 1.4396 4.2008
Pd -1.4325 4.0335 2.7176
Pd 1.4325 4.0335 2.7176
Pd 0.0000 1.7832 6.4885

Copy entry 1 word for word.
8
Lattice="-2.6007 2.6007 4.7966 2.6007 -2.6007 4.7966 2.6007 2.6007 -4.7966" Properties=species:S:1:pos:R:3 comment="HgB2Pd (GGA-PBE, relaxed)" magmom_total_mub_per_atom=0.0000 n_ef_per_ev_cell=3.51 formation_energy_ev_per_atom=0.921 space_group="I-42d (122)" pbc="T T T"
Hg 0.0000 0.0000 0.0000
Hg 0.0000 2.6007 2.3983
B 1.3004 -1.0484 3.5975
B 1.5523 1.3004 1.1992
B 1.3004 3.6491 -1.1992
B 1.0484 1.3004 5.9958
Pd 2.6007 0.0000 2.3983
Pd 0.0000 0.0000 4.7966